1.
The following is a DFT calculation (PBE) of LiNiIr2 after structural relaxation.

Summary:
ΔE_f   -0.026 eV/atom
Magnetic moment   0.3548 μB per atom
DOS(E_F)   4.68 states/eV per cell
Density   13.9 Mg/m³

abc: 8.855 8.855 8.855
angles: 17.34 17.34 17.34
Positions (direct):
Li  0.000  0.000  0.000
Ni  0.500  0.500  0.500
Ir  0.247  0.247  0.247
Ir  0.753  0.753  0.753

=====

2.
The following is a DFT calculation (PBE) of Mn3PPb after structural relaxation.

Summary:
ΔE_f   0.175 eV/atom
Magnetic moment   1.9924 μB per atom
DOS(E_F)   3.84 states/eV per cell
Density   7.4 Mg/m³

abc: 4.495 4.495 4.495
angles: 90.00 90.00 90.00
Positions (direct):
Mn  0.000  0.000  0.500
Mn  0.000  0.500  0.000
Mn  0.500  0.000  0.000
P  0.000  0.000  0.000
Pb  0.500  0.500  0.500

=====

3.
The following is a DFT calculation (PBE) of LiHgPtAu2 after structural relaxation.

Summary:
ΔE_f   0.443 eV/atom
Magnetic moment   0.0000 μB per atom
DOS(E_F)   3.49 states/eV per cell
Density   14.7 Mg/m³

abc: 4.433 4.433 4.567
angles: 90.00 90.00 90.00
Positions (direct):
Li  0.000  0.000  0.000
Hg  0.000  0.000  0.500
Pt  0.500  0.500  0.500
Au  0.000  0.500  0.000
Au  0.500  0.000  0.000

=====

4.
The following is a DFT calculation (PBE) of ScPtW2 after structural relaxation.

Summary:
ΔE_f   -0.127 eV/atom
Magnetic moment   0.0000 μB per atom
DOS(E_F)   2.25 states/eV per cell
Density   14.8 Mg/m³

abc: 2.850 4.024 5.986
angles: 90.00 95.27 90.00
Positions (direct):
Sc  0.000  0.000  0.000
Pt  0.443  0.500  0.770
W  0.488  0.500  0.278
W  0.856  0.000  0.498

=====

5.
The following is a DFT calculation (PBE) of MgHI2N after structural relaxation.

Summary:
Magnetic moment   0.0000 μB per atom
DOS(E_F)   6.83 states/eV per cell
Density   5.1 Mg/m³
Calculated total energy   -11.5 eV/f.u.

abc: 5.516 5.516 3.164
angles: 90.00 90.00 90.00
Positions (direct):
Mg  0.000  0.000  0.000
H  0.500  0.500  0.500
I  0.000  0.500  0.500
I  0.500  0.000  0.500
N  0.500  0.500  0.000